Here is a geometry-optimized NdLuNiAu structure from the Alexandria database. Energies are from PBE-GGA.

a b c (Å): 7.067 7.067 7.067
angles (deg): 90.00 90.00 90.00
Space group F-43m (No. 216)
Unique sites:
1 Nd 0.000 0.000 0.000 (multiplicity 4)
2 Lu 0.000 0.000 0.500 (multiplicity 4)
3 Ni 0.250 0.250 0.750 (multiplicity 4)
4 Au 0.250 0.250 0.250 (multiplicity 4)

As for the crystal system: cubic. The calculation puts the spin magnetization at 0.00 μB per cell. The value obtained for the density is 10.82 g/cm³. The energy of formation from the pure elements is -0.54 eV per atom.

Here is a geometry-optimized NdLuOsAu structure from the Alexandria database. Energies are from PBE-GGA.

a b c (Å): 7.047 7.047 7.047
angles (deg): 90.00 90.00 90.00
Space group F-43m (No. 216)
Unique sites:
1 Nd 0.000 0.000 0.000 (multiplicity 4)
2 Lu 0.000 0.000 0.500 (multiplicity 4)
3 Os 0.250 0.250 0.250 (multiplicity 4)
4 Au 0.250 0.250 0.750 (multiplicity 4)

As for the crystal system: cubic. The calculation puts the spin magnetization at 0.00 μB per cell. The value obtained for the density is 13.41 g/cm³. The energy of formation from the pure elements is -0.39 eV per atom.

Here is a geometry-optimized NdLuPbAu structure from the Alexandria database. Energies are from PBE-GGA.

a b c (Å): 7.501 7.501 7.501
angles (deg): 90.00 90.00 90.00
Space group F-43m (No. 216)
Unique sites:
1 Nd 0.000 0.000 0.000 (multiplicity 4)
2 Lu 0.000 0.000 0.500 (multiplicity 4)
3 Pb 0.250 0.250 0.750 (multiplicity 4)
4 Au 0.250 0.250 0.250 (multiplicity 4)

As for the crystal system: cubic. The calculation puts the spin magnetization at 2.50 μB per cell. The value obtained for the density is 11.38 g/cm³. The energy of formation from the pure elements is -0.57 eV per atom.

Here is a geometry-optimized NdLuRhAu structure from the Alexandria database. Energies are from PBE-GGA.

a b c (Å): 7.092 7.092 7.092
angles (deg): 90.00 90.00 90.00
Space group F-43m (No. 216)
Unique sites:
1 Nd 0.000 0.000 0.000 (multiplicity 4)
2 Lu 0.000 0.000 0.500 (multiplicity 4)
3 Rh 0.250 0.250 0.750 (multiplicity 4)
4 Au 0.250 0.250 0.250 (multiplicity 4)

As for the crystal system: cubic. The calculation puts the spin magnetization at 0.01 μB per cell. The value obtained for the density is 11.53 g/cm³. The energy of formation from the pure elements is -0.77 eV per atom.

Here is a geometry-optimized NdLuRuAu structure from the Alexandria database. Energies are from PBE-GGA.

a b c (Å): 7.056 7.056 7.056
angles (deg): 90.00 90.00 90.00
Space group F-43m (No. 216)
Unique sites:
1 Nd 0.000 0.000 0.000 (multiplicity 4)
2 Lu 0.000 0.000 0.500 (multiplicity 4)
3 Ru 0.250 0.250 0.750 (multiplicity 4)
4 Au 0.250 0.250 0.250 (multiplicity 4)

As for the crystal system: cubic. The calculation puts the spin magnetization at 0.00 μB per cell. The value obtained for the density is 11.67 g/cm³. The energy of formation from the pure elements is -0.51 eV per atom.

Here is a geometry-optimized NdLuSiAu structure from the Alexandria database. Energies are from PBE-GGA.

a b c (Å): 7.197 7.197 7.197
angles (deg): 90.00 90.00 90.00
Space group F-43m (No. 216)
Unique sites:
1 Nd 0.000 0.000 0.000 (multiplicity 4)
2 Lu 0.000 0.000 0.500 (multiplicity 4)
3 Si 0.250 0.250 0.750 (multiplicity 4)
4 Au 0.250 0.250 0.250 (multiplicity 4)

As for the crystal system: cubic. The uncorrected formation energy comes out at -0.6105 eV/atom. The calculation puts the spin magnetization at 1.17 μB per cell. The value obtained for the density is 9.70 g/cm³.

Here is a geometry-optimized NdLuTlAu structure from the Alexandria database. Energies are from PBE-GGA.

a b c (Å): 7.472 7.472 7.472
angles (deg): 90.00 90.00 90.00
Space group F-43m (No. 216)
Unique sites:
1 Nd 0.000 0.000 0.000 (multiplicity 4)
2 Lu 0.000 0.000 0.500 (multiplicity 4)
3 Tl 0.250 0.250 0.250 (multiplicity 4)
4 Au 0.250 0.250 0.750 (multiplicity 4)

As for the crystal system: cubic. The calculation puts the spin magnetization at 0.00 μB per cell. The value obtained for the density is 11.47 g/cm³. The energy of formation from the pure elements is -0.53 eV per atom.

Here is a geometry-optimized NdLuZnAu structure from the Alexandria database. Energies are from PBE-GGA.

a b c (Å): 7.232 7.232 7.232
angles (deg): 90.00 90.00 90.00
Space group F-43m (No. 216)
Unique sites:
1 Nd 0.000 0.000 0.000 (multiplicity 4)
2 Lu 0.000 0.000 0.500 (multiplicity 4)
3 Zn 0.250 0.250 0.750 (multiplicity 4)
4 Au 0.250 0.250 0.250 (multiplicity 4)

As for the crystal system: cubic. The calculation puts the spin magnetization at 0.00 μB per cell. The value obtained for the density is 10.21 g/cm³. The energy of formation from the pure elements is -0.56 eV per atom.

Here is a geometry-optimized LuPaNiAu structure from the Alexandria database. Energies are from PBE-GGA.

a b c (Å): 6.962 6.962 6.962
angles (deg): 90.00 90.00 90.00
Space group F-43m (No. 216)
Unique sites:
1 Lu 0.000 0.000 0.000 (multiplicity 4)
2 Pa 0.000 0.000 0.500 (multiplicity 4)
3 Ni 0.250 0.250 0.250 (multiplicity 4)
4 Au 0.250 0.250 0.750 (multiplicity 4)

As for the crystal system: cubic. The calculation puts the spin magnetization at 0.01 μB per cell. The value obtained for the density is 13.02 g/cm³. The energy of formation from the pure elements is -0.32 eV per atom.

Here is a geometry-optimized PrLuNiAu structure from the Alexandria database. Energies are from PBE-GGA.

a b c (Å): 7.096 7.096 7.096
angles (deg): 90.00 90.00 90.00
Space group F-43m (No. 216)
Unique sites:
1 Pr 0.000 0.000 0.000 (multiplicity 4)
2 Lu 0.000 0.000 0.500 (multiplicity 4)
3 Ni 0.250 0.250 0.250 (multiplicity 4)
4 Au 0.250 0.250 0.750 (multiplicity 4)

As for the crystal system: cubic. The calculation puts the spin magnetization at 0.00 μB per cell. The value obtained for the density is 10.62 g/cm³. The energy of formation from the pure elements is -0.52 eV per atom.

Here is a geometry-optimized LuNiSnAu structure from the Alexandria database. Energies are from PBE-GGA.

a b c (Å): 6.703 6.703 6.703
angles (deg): 90.00 90.00 90.00
Space group F-43m (No. 216)
Unique sites:
1 Lu 0.000 0.000 0.000 (multiplicity 4)
2 Ni 0.250 0.250 0.250 (multiplicity 4)
3 Sn 0.000 0.000 0.500 (multiplicity 4)
4 Au 0.250 0.250 0.750 (multiplicity 4)

As for the crystal system: cubic. The calculation puts the spin magnetization at 0.00 μB per cell. The value obtained for the density is 12.11 g/cm³. The energy of formation from the pure elements is -0.50 eV per atom.

Here is a geometry-optimized TbLuNiAu structure from the Alexandria database. Energies are from PBE-GGA.

a b c (Å): 6.949 6.949 6.949
angles (deg): 90.00 90.00 90.00
Space group F-43m (No. 216)
Unique sites:
1 Tb 0.000 0.000 0.000 (multiplicity 4)
2 Lu 0.000 0.000 0.500 (multiplicity 4)
3 Ni 0.250 0.250 0.250 (multiplicity 4)
4 Au 0.250 0.250 0.750 (multiplicity 4)

As for the crystal system: cubic. The calculation puts the spin magnetization at 0.00 μB per cell. The value obtained for the density is 11.67 g/cm³. The energy of formation from the pure elements is -0.61 eV per atom.

Here is a geometry-optimized TmLuNiAu structure from the Alexandria database. Energies are from PBE-GGA.

a b c (Å): 6.882 6.882 6.882
angles (deg): 90.00 90.00 90.00
Space group F-43m (No. 216)
Unique sites:
1 Tm 0.000 0.000 0.000 (multiplicity 4)
2 Lu 0.000 0.000 0.500 (multiplicity 4)
3 Ni 0.250 0.250 0.750 (multiplicity 4)
4 Au 0.250 0.250 0.250 (multiplicity 4)

As for the crystal system: cubic. The calculation puts the spin magnetization at 0.00 μB per cell. The value obtained for the density is 12.22 g/cm³. The energy of formation from the pure elements is -0.64 eV per atom.

Here is a geometry-optimized YLuNiAu structure from the Alexandria database. Energies are from PBE-GGA.

a b c (Å): 6.945 6.945 6.945
angles (deg): 90.00 90.00 90.00
Space group F-43m (No. 216)
Unique sites:
1 Y 0.000 0.000 0.000 (multiplicity 4)
2 Lu 0.000 0.000 0.500 (multiplicity 4)
3 Ni 0.250 0.250 0.750 (multiplicity 4)
4 Au 0.250 0.250 0.250 (multiplicity 4)

As for the crystal system: cubic. The calculation puts the spin magnetization at 0.00 μB per cell. The value obtained for the density is 10.30 g/cm³. The energy of formation from the pure elements is -0.61 eV per atom.

Here is a geometry-optimized LuZnNiAu structure from the Alexandria database. Energies are from PBE-GGA.

a b c (Å): 6.505 6.505 6.505
angles (deg): 90.00 90.00 90.00
Space group F-43m (No. 216)
Unique sites:
1 Lu 0.000 0.000 0.000 (multiplicity 4)
2 Zn 0.000 0.000 0.500 (multiplicity 4)
3 Ni 0.250 0.250 0.250 (multiplicity 4)
4 Au 0.250 0.250 0.750 (multiplicity 4)

As for the crystal system: cubic. The calculation puts the spin magnetization at 0.00 μB per cell. The value obtained for the density is 11.97 g/cm³. The energy of formation from the pure elements is -0.44 eV per atom.

no.,calculated volume (Å³ per atom)
1,22.1
2,21.9
3,26.4
4,22.3
5,22.0
6,23.3
7,26.1
8,23.6
9,21.1
10,22.3
11,18.8
12,21.0
13,20.4
14,20.9
15,17.2